Compound: PuGaCo2O8
Source: the Alexandria database
Functional: PBE+U
Structure: relaxed

Properties
* calculated density: 6.49 g/cm³
* magnetic moment: 7.00 μB/cell
* uncorrected energy: -6.93 eV/atom
* DOS(E_F): 0.21 states/eV/atom
* SG: I-4m2, No. 119

Cell lengths 5.712, 5.712, 5.712 Å; angles 110.73, 110.73, 106.99 degrees
Last column: magnetic moment on the atom in μB.
Fractional coordinates of all 12 atoms:
Pu (0.250, 0.750, 0.500)  -1.22
Ga (0.000, 0.000, 0.000)  0.05
Co (0.750, 0.250, 0.500)  3.11
Co (0.500, 0.500, 0.000)  2.67
O (0.364, 0.067, 0.297)  0.39
O (0.297, 0.500, 0.203)  0.11
O (0.297, 0.094, 0.797)  0.11
O (0.770, 0.067, 0.703)  0.39
O (0.906, 0.703, 0.203)  0.11
O (0.933, 0.230, 0.297)  0.39
O (0.933, 0.636, 0.703)  0.39
O (0.500, 0.703, 0.797)  0.11